[1]
Below is an optimized crystal structure of BaZr2Fe, with properties calculated at the PBE level.

Cell lengths 4.0406, 4.0406, 8.2811 Å; angles 103.31, 103.31, 58.72 degrees
Positions (direct):
1 Ba 0.0000 0.0000 0.0000
2 Zr 0.2077 0.2077 0.6333
3 Zr 0.7923 0.7923 0.3667
4 Fe 0.5000 0.5000 0.5000

Values from the calculation:
ΔE_f: 0.26 eV/atom
Space group: C2/m (12)

[2]
Below is an optimized crystal structure of Mn2NbPt2, with properties calculated at the PBE level.

Cell lengths 6.9568, 6.9568, 6.9568 Å; angles 151.66, 151.66, 40.51 degrees
Positions (direct):
1 Mn 0.2500 0.7500 0.5000
2 Mn 0.7500 0.2500 0.5000
3 Nb 0.0000 0.0000 0.0000
4 Pt 0.3980 0.3980 0.0000
5 Pt 0.6020 0.6020 0.0000

Values from the calculation:
ΔE_f: 0.01 eV/atom
Space group: I4/mmm (139)

[3]
Below is an optimized crystal structure of AlPt2Pb, with properties calculated at the PBE level.

Cell lengths 4.6699, 4.6699, 4.6699 Å; angles 60.00, 60.00, 60.00 degrees
Positions (direct):
1 Al 0.0000 0.0000 0.0000
2 Pt 0.2500 0.2500 0.2500
3 Pt 0.7500 0.7500 0.7500
4 Pb 0.5000 0.5000 0.5000

Values from the calculation:
ΔE_f: -0.25 eV/atom
Space group: Fm-3m (225)

no.,D(E_F) (states/eV/cell),E_tot (eV per atom)
1,5.2,-6.61
2,4.8,-8.09
3,1.0,-5.14